The following is a PBE with a Hubbard U calculation of CoAs2F2 after structural relaxation, from Alexandria via LeMat-Bulk.

Properties
Space group: I4/mmm (139)
Final energy in hartree per atom: -0.1429
Energy above the lowest structure with this stoichiometry in eV/f.u.: 2.941

Cell: 3.2807 3.2807 6.6101 Å, 75.63 75.63 90.00°
Closest atoms and distances in Å follow each position.
Fractional positions:
F 0.7500 0.2500 0.5000  4 F 2.32, 4 As 2.35
F 0.2500 0.7500 0.5000  4 F 2.32, 4 As 2.35
As 0.6142 0.6142 0.7716  4 F 2.35
As 0.3858 0.3858 0.2284  4 F 2.35
Co 0.0000 0.0000 0.0000  8 As 2.72